[1]
{"formula": "SnHgSbAs", "functional": "PBE", "state": "relaxed", "lattice_angstrom": [[-3.156, 0.907, -0.148], [1.196, -1.376, 2.586], [0.077, 3.845, 21.987]], "species": ["Sn", "Hg", "Sb", "As"], "frac_coords": [[0.733, 0.467, 0.712], [0.927, 0.854, 0.227], [0.312, 0.624, 0.971], [0.595, 0.190, 0.467]], "volume_a3_per_fu": 102.5, "m_tot_mub_per_cell": 0.000, "space_group": "No. 8", "total_energy_ev_per_atom": -3.005, "raw_formation_energy_ev_per_atom": 0.26, "dos_at_fermi_per_ev_fu": 2.50}

[2]
{"formula": "TlBrCl", "functional": "PBE", "state": "relaxed", "lattice_angstrom": [[5.097, 0.000, 0.000], [2.549, 4.414, 0.000], [2.549, 1.471, 4.162]], "species": ["Tl", "Br", "Cl"], "frac_coords": [[0.750, 0.750, 0.750], [0.000, 0.000, 0.000], [0.500, 0.500, 0.500]], "volume_a3_per_fu": 93.6, "m_tot_mub_per_cell": 0.000, "space_group": "No. 216", "total_energy_ev_per_atom": -2.446, "raw_formation_energy_ev_per_atom": -0.48, "dos_at_fermi_per_ev_fu": 3.63, "relative_energy_ev_per_atom": 0.2325}

[3]
{"formula": "ErCoGe2", "functional": "PBE", "state": "relaxed", "lattice_angstrom": [[4.228, 0.000, 0.000], [0.000, 6.457, 0.000], [0.000, 0.000, 9.922]], "species": ["Er", "Er", "Er", "Er", "Co", "Co", "Co", "Co", "Ge", "Ge", "Ge", "Ge", "Ge", "Ge", "Ge", "Ge"], "frac_coords": [[0.750, 0.766, 0.331], [0.750, 0.266, 0.169], [0.250, 0.234, 0.669], [0.250, 0.734, 0.831], [0.250, 0.082, 0.399], [0.750, 0.918, 0.601], [0.250, 0.582, 0.101], [0.750, 0.418, 0.899], [0.750, 0.735, 0.036], [0.250, 0.265, 0.964], [0.750, 0.235, 0.464], [0.250, 0.765, 0.536], [0.750, 0.049, 0.835], [0.250, 0.451, 0.335], [0.750, 0.549, 0.665], [0.250, 0.951, 0.165]], "volume_a3_per_fu": 67.7, "m_tot_mub_per_cell": 0.000, "e_form_ev_per_atom": -0.56, "space_group": "No. 62", "total_energy_ev_per_atom": -5.784, "dos_at_fermi_per_ev_fu": 0.85}

[4]
{"formula": "LaSe4Cl", "functional": "PBE", "state": "relaxed", "lattice_angstrom": [[2.342, 1.461, 5.070], [-1.158, 5.149, 2.337], [-3.312, 0.350, 4.715]], "species": ["La", "Se", "Se", "Se", "Se", "Cl"], "frac_coords": [[0.000, 0.000, 0.000], [0.876, 0.375, 0.375], [0.375, 0.375, 0.876], [0.375, 0.876, 0.375], [0.375, 0.375, 0.375], [0.750, 0.750, 0.750]], "volume_a3_per_fu": 136.0, "m_tot_mub_per_cell": 0.000, "space_group": "No. 216", "total_energy_ev_per_atom": -4.135, "raw_formation_energy_ev_per_atom": -0.68, "dos_at_fermi_per_ev_fu": 0.69}